Record 1
Compound: Li3Pm2InCu12
Source: the Alexandria database
Functional: PBE-GGA
Structure: optimized geometry

Calculated values
- Space group: R-3m (166)
- Magnetic moment: 0.00 μB per cell
- Crystal system: trigonal
- Calculated formation energy: 0.0926 eV per atom
- V: 16.92 Å³ per atom

Lattice parameters (Å, degrees): 9.847 9.847 9.847 36.64 36.64 36.64
Atoms (fractional coordinates):
Li  0.000  0.500  0.500
Li  0.500  0.000  0.500
Li  0.500  0.500  0.000
Pm  0.138  0.138  0.138
Pm  0.862  0.862  0.862
In  0.500  0.500  0.500
Cu  0.045  0.626  0.626
Cu  0.086  0.086  0.700
Cu  0.086  0.700  0.086
Cu  0.300  0.914  0.914
Cu  0.374  0.374  0.955
Cu  0.374  0.955  0.374
Cu  0.626  0.045  0.626
Cu  0.626  0.626  0.045
Cu  0.700  0.086  0.086
Cu  0.914  0.300  0.914
Cu  0.914  0.914  0.300
Cu  0.955  0.374  0.374


Record 2
Compound: Hf4Cu3Ir2
Source: the Alexandria database
Functional: PBE-GGA
Structure: optimized geometry

Calculated values
- Space group: P-3m1 (164)
- Magnetic moment: 0.00 μB per cell
- Crystal system: trigonal
- Calculated formation energy: -0.4754 eV per atom
- V: 17.27 Å³ per atom

Lattice parameters (Å, degrees): 4.452 4.452 9.047 90.00 90.00 120.00
Atoms (fractional coordinates):
Hf  0.000  0.000  0.165
Hf  0.000  0.000  0.835
Hf  0.333  0.667  0.613
Hf  0.667  0.333  0.387
Cu  0.000  0.000  0.500
Cu  0.333  0.667  0.006
Cu  0.667  0.333  0.994
Ir  0.333  0.667  0.309
Ir  0.667  0.333  0.691


Record 3
Compound: LiLa4Pr3Te8
Source: the Alexandria database
Functional: PBE-GGA
Structure: optimized geometry

Calculated values
- Space group: R-3m (166)
- Magnetic moment: 0.00 μB per cell
- Crystal system: trigonal
- Formation energy from raw total energies: -1486 meV/atom
- V: 33.07 Å³ per atom

Lattice parameters (Å, degrees): 9.053 9.053 9.053 60.38 60.38 60.38
Atoms (fractional coordinates):
Li  0.000  0.000  0.000
La  0.000  0.000  0.500
La  0.000  0.500  0.000
La  0.500  0.000  0.000
La  0.500  0.500  0.500
Pr  0.000  0.500  0.500
Pr  0.500  0.000  0.500
Pr  0.500  0.500  0.000
Te  0.242  0.242  0.756
Te  0.242  0.756  0.242
Te  0.244  0.758  0.758
Te  0.251  0.251  0.251
Te  0.749  0.749  0.749
Te  0.756  0.242  0.242
Te  0.758  0.244  0.758
Te  0.758  0.758  0.244


Record 4
Compound: MnSn
Source: the Alexandria database
Functional: PBE-GGA
Structure: optimized geometry

Calculated values
- Space group: I4/m (87)
- Magnetic moment: 0.00 μB per cell
- Crystal system: tetragonal
- Calculated formation energy: 0.5497 eV per atom
- V: 24.63 Å³ per atom

Lattice parameters (Å, degrees): 7.871 7.871 7.871 92.56 92.56 155.57
Atoms (fractional coordinates):
Mn  0.202  0.281  0.483
Mn  0.281  0.798  0.078
Mn  0.719  0.202  0.922
Mn  0.798  0.719  0.517
Sn  0.031  0.735  0.766
Sn  0.265  0.031  0.296
Sn  0.735  0.969  0.704
Sn  0.969  0.265  0.234


Record 5
Compound: Ti3Ga4Pd
Source: the Alexandria database
Functional: PBE-GGA
Structure: optimized geometry

Calculated values
- Space group: Pmmn (59)
- Magnetic moment: 1.42 μB per cell
- Crystal system: orthorhombic
- Calculated formation energy: -0.3015 eV per atom
- V: 16.23 Å³ per atom

Lattice parameters (Å, degrees): 4.838 9.433 5.689 90.00 90.00 90.00
Atoms (fractional coordinates):
Ti  0.250  0.008  0.114
Ti  0.250  0.492  0.114
Ti  0.250  0.750  0.887
Ti  0.750  0.250  0.113
Ti  0.750  0.508  0.886
Ti  0.750  0.992  0.886
Ga  0.250  0.250  0.373
Ga  0.250  0.505  0.624
Ga  0.250  0.750  0.370
Ga  0.250  0.995  0.624
Ga  0.750  0.005  0.376
Ga  0.750  0.250  0.630
Ga  0.750  0.495  0.376
Ga  0.750  0.750  0.627
Pd  0.250  0.250  0.870
Pd  0.750  0.750  0.130


Record 6
Compound: YRe3
Source: the Alexandria database
Functional: PBE-GGA
Structure: optimized geometry

Calculated values
- Space group: C2/m (12)
- Magnetic moment: 0.00 μB per cell
- Crystal system: monoclinic
- Calculated formation energy: 0.3278 eV per atom
- ΔE to the lowest computed polymorph: 64 meV per atom
- V: 17.40 Å³ per atom

Lattice parameters (Å, degrees): 5.480 5.480 4.764 115.66 115.66 33.05
Atoms (fractional coordinates):
Y  0.000  0.000  0.000
Re  0.227  0.227  0.726
Re  0.500  0.500  0.500
Re  0.773  0.773  0.274


Record 7
Compound: NaScRh2
Source: the Alexandria database
Functional: PBE-GGA
Structure: optimized geometry

Calculated values
- Space group: I-42d (122)
- Magnetic moment: 0.00 μB per cell
- Crystal system: tetragonal
- Calculated formation energy: 0.2563 eV per atom
- V: 19.01 Å³ per atom

Lattice parameters (Å, degrees): 9.286 9.286 9.286 154.14 154.14 36.89
Atoms (fractional coordinates):
Na  0.000  0.000  0.000
Na  0.750  0.250  0.500
Sc  0.250  0.750  0.500
Sc  0.500  0.500  0.000
Rh  0.173  0.625  0.048
Rh  0.375  0.423  0.548
Rh  0.577  0.125  0.952
Rh  0.875  0.827  0.452


Record 8
Compound: MgV3Pd
Source: the Alexandria database
Functional: PBE-GGA
Structure: optimized geometry

Calculated values
- Space group: Pm-3m (221)
- Magnetic moment: 7.12 μB per cell
- Crystal system: cubic
- Calculated formation energy: 1.1459 eV per atom
- ΔE to the lowest computed polymorph: 0 meV per atom
- V: 21.86 Å³ per atom

Lattice parameters (Å, degrees): 4.781 4.781 4.781 90.00 90.00 90.00
Atoms (fractional coordinates):
Mg  0.000  0.000  0.000
V  0.000  0.500  0.500
V  0.500  0.000  0.500
V  0.500  0.500  0.000
Pd  0.500  0.500  0.500